Entry i
A plane-wave DFT calculation with GGA-PBE was carried out for a relaxed structure of LaPm7Er4.

Calculated values
Volume, Å³ per atom: 33.44
Crystal system: triclinic
M_tot, μB per formula unit: 0.00
Symmetry: No. 2
Density of states at the Fermi level, states/eV per cell: 17.4

Unit cell a=6.312 b=7.287 c=8.977 alpha=89.99 beta=76.38 gamma=90.00
Fractional coordinates of all 12 atoms:
La 0.000 0.000 0.000
Pm 0.000 0.500 0.000
Pm 0.223 0.000 0.336
Pm 0.281 0.748 0.663
Pm 0.500 0.254 0.999
Pm 0.500 0.746 0.001
Pm 0.719 0.252 0.337
Pm 0.777 0.000 0.664
Er 0.218 0.500 0.336
Er 0.278 0.255 0.665
Er 0.722 0.745 0.335
Er 0.782 0.500 0.664



Entry ii
A plane-wave DFT calculation with GGA-PBE was carried out for a relaxed structure of LaPm7Er4.

Calculated values
Volume, Å³ per atom: 34.18
Crystal system: monoclinic
M_tot, μB per formula unit: 0.00
Symmetry: No. 12
Density of states at the Fermi level, states/eV per cell: 18.1

Unit cell a=6.763 b=6.763 c=12.735 alpha=114.76 beta=114.76 gamma=52.80
Fractional coordinates of all 12 atoms:
La 0.000 0.000 0.000
Pm 0.057 0.057 0.333
Pm 0.209 0.209 0.919
Pm 0.369 0.369 0.496
Pm 0.500 0.500 0.000
Pm 0.631 0.631 0.504
Pm 0.791 0.791 0.081
Pm 0.943 0.943 0.667
Er 0.255 0.255 0.686
Er 0.367 0.367 0.225
Er 0.633 0.633 0.775
Er 0.745 0.745 0.314



Least stable: entry ii



Entry i
A plane-wave DFT calculation with GGA-PBE was carried out for a relaxed structure of La4Pm5Er.

Calculated values
Volume, Å³ per atom: 35.68
Crystal system: triclinic
M_tot, μB per formula unit: 0.00
Symmetry: No. 2
Density of states at the Fermi level, states/eV per cell: 15.0

Unit cell a=6.693 b=6.716 c=8.667 alpha=69.96 beta=77.19 gamma=85.41
Fractional coordinates of all 10 atoms:
La 0.024 0.296 0.397
La 0.321 0.977 0.182
La 0.679 0.023 0.818
La 0.976 0.704 0.603
Pm 0.159 0.184 0.812
Pm 0.268 0.626 0.934
Pm 0.500 0.500 0.500
Pm 0.732 0.374 0.066
Pm 0.841 0.816 0.188
Er 0.500 0.000 0.500



Entry ii
A plane-wave DFT calculation with GGA-PBE was carried out for a relaxed structure of La4Pm5Er.

Calculated values
Volume, Å³ per atom: 35.61
Crystal system: tetragonal
M_tot, μB per formula unit: 0.00
Symmetry: No. 107
Density of states at the Fermi level, states/eV per cell: 13.3

Unit cell a=8.138 b=8.138 c=8.138 alpha=98.73 beta=98.73 gamma=134.15
Fractional coordinates of all 10 atoms:
La 0.000 0.325 0.325
La 0.000 0.675 0.675
La 0.325 0.000 0.325
La 0.675 0.000 0.675
Pm 0.269 0.269 0.622
Pm 0.269 0.647 0.000
Pm 0.647 0.269 0.000
Pm 0.647 0.647 0.378
Pm 0.732 0.732 0.000
Er 0.201 0.201 0.000



Least stable: entry ii



Entry i
A plane-wave DFT calculation with GGA-PBE was carried out for a relaxed structure of La5Pm12Er2.

Calculated values
Volume, Å³ per atom: 35.45
Crystal system: monoclinic
M_tot, μB per formula unit: 0.00
Symmetry: No. 12
Density of states at the Fermi level, states/eV per cell: 29.8

Unit cell a=10.260 b=10.260 c=8.913 alpha=114.32 beta=114.32 gamma=54.06
Fractional coordinates of all 19 atoms:
La 0.000 0.000 0.000
La 0.237 0.237 0.797
La 0.289 0.289 0.277
La 0.711 0.711 0.723
La 0.763 0.763 0.203
Pm 0.038 0.669 0.592
Pm 0.047 0.047 0.686
Pm 0.155 0.594 0.043
Pm 0.331 0.962 0.408
Pm 0.406 0.845 0.957
Pm 0.437 0.437 0.776
Pm 0.563 0.563 0.224
Pm 0.594 0.155 0.043
Pm 0.669 0.038 0.592
Pm 0.845 0.406 0.957
Pm 0.953 0.953 0.314
Pm 0.962 0.331 0.408
Er 0.327 0.673 0.500
Er 0.673 0.327 0.500



Entry ii
A plane-wave DFT calculation with GGA-PBE was carried out for a relaxed structure of La5Pm12Er2.

Calculated values
Volume, Å³ per atom: 34.94
Crystal system: monoclinic
M_tot, μB per formula unit: 0.00
Symmetry: No. 12
Density of states at the Fermi level, states/eV per cell: 30.2

Unit cell a=10.876 b=10.876 c=6.289 alpha=100.83 beta=100.83 gamma=66.31
Fractional coordinates of all 19 atoms:
La 0.000 0.000 0.000
La 0.214 0.214 0.054
La 0.325 0.325 0.648
La 0.675 0.675 0.352
La 0.786 0.786 0.946
Pm 0.057 0.550 0.301
Pm 0.121 0.121 0.497
Pm 0.154 0.643 0.883
Pm 0.357 0.846 0.117
Pm 0.449 0.449 0.226
Pm 0.450 0.943 0.699
Pm 0.550 0.057 0.301
Pm 0.551 0.551 0.774
Pm 0.643 0.154 0.883
Pm 0.846 0.357 0.117
Pm 0.879 0.879 0.503
Pm 0.943 0.450 0.699
Er 0.227 0.773 0.500
Er 0.773 0.227 0.500



Least stable: entry i